Compound: Sr2InBi2
Source: the Alexandria database
Functional: PBE-GGA
Structure: relaxed

Properties
The calculation puts the calculated volume at 35.62 A^3/atom. Its energy above the most stable polymorph in this dataset is 19 meV per atom. For the formation energy, the calculation gives -295 kJ/mol of formula units.

a b c (Å): 8.574 8.574 4.846
angles (deg): 90.00 90.00 90.00
Sites, in units of the cell vectors:
1 Sr 0.174 0.326 0.000
2 Sr 0.326 0.826 0.000
3 Sr 0.674 0.174 0.000
4 Sr 0.826 0.674 0.000
5 In 0.000 0.000 0.500
6 In 0.500 0.500 0.500
7 Bi 0.128 0.628 0.500
8 Bi 0.372 0.128 0.500
9 Bi 0.628 0.872 0.500
10 Bi 0.872 0.372 0.500